--- A ---
{
  "formula": "SrErO2",
  "functional": "PBE",
  "state": "optimized geometry",
  "cell": [[1.918, 1.107, 6.788], [-1.918, 1.107, 6.788], [0.000, -2.214, 6.788]],
  "species": ["Sr", "Er", "O", "O"],
  "frac_coords": [[0.000, 0.000, 0.000], [0.500, 0.500, 0.500], [0.398, 0.398, 0.398], [0.602, 0.602, 0.602]],
  "n_ef_per_ev_cell": 0.9,
  "spacegroup": "R-3m, No. 166",
  "mass_density_g_cm3": 5.5
}

***

--- B ---
{
  "formula": "SrErO2",
  "functional": "PBE",
  "state": "optimized geometry",
  "cell": [[1.730, 0.999, 6.223], [-1.730, 0.999, 6.223], [0.000, -1.997, 6.223]],
  "species": ["Sr", "Er", "O", "O"],
  "frac_coords": [[0.000, 0.000, 0.000], [0.825, 0.825, 0.825], [0.225, 0.225, 0.225], [0.430, 0.430, 0.430]],
  "n_ef_per_ev_cell": 0.8,
  "spacegroup": "R3m, No. 160",
  "mass_density_g_cm3": 7.4
}

***

Which one sits at the bottom of the stability order? A does.

***

--- A ---
{
  "formula": "ErTa3O9",
  "functional": "PBE",
  "state": "optimized geometry",
  "cell": [[5.270, 0.000, 0.000], [0.000, 7.496, 0.000], [-0.361, 0.000, 8.297]],
  "species": ["Er", "Er", "Ta", "Ta", "Ta", "Ta", "Ta", "Ta", "O", "O", "O", "O", "O", "O", "O", "O", "O", "O", "O", "O", "O", "O", "O", "O", "O", "O"],
  "frac_coords": [[0.034, 0.250, 0.435], [0.966, 0.750, 0.565], [0.000, 0.000, 0.000], [0.000, 0.500, 0.000], [0.471, 0.007, 0.696], [0.471, 0.493, 0.696], [0.529, 0.507, 0.304], [0.529, 0.993, 0.304], [0.099, 0.250, 0.978], [0.147, 0.566, 0.784], [0.147, 0.934, 0.784], [0.256, 0.545, 0.467], [0.256, 0.955, 0.467], [0.327, 0.555, 0.120], [0.327, 0.945, 0.120], [0.331, 0.250, 0.652], [0.419, 0.250, 0.314], [0.581, 0.750, 0.686], [0.669, 0.750, 0.348], [0.673, 0.055, 0.880], [0.673, 0.445, 0.880], [0.744, 0.045, 0.533], [0.744, 0.455, 0.533], [0.853, 0.066, 0.216], [0.853, 0.434, 0.216], [0.901, 0.750, 0.022]],
  "n_ef_per_ev_cell": 0.0,
  "spacegroup": "P2_1/m, No. 11",
  "mass_density_g_cm3": 8.7
}

***

--- B ---
{
  "formula": "ErTa3O9",
  "functional": "PBE",
  "state": "optimized geometry",
  "cell": [[6.439, 0.000, 0.000], [0.000, 7.619, 0.000], [0.000, 0.000, 12.572]],
  "species": ["Er", "Er", "Er", "Er", "Ta", "Ta", "Ta", "Ta", "Ta", "Ta", "Ta", "Ta", "Ta", "Ta", "Ta", "Ta", "O", "O", "O", "O", "O", "O", "O", "O", "O", "O", "O", "O", "O", "O", "O", "O", "O", "O", "O", "O", "O", "O", "O", "O", "O", "O", "O", "O", "O", "O", "O", "O", "O", "O", "O", "O"],
  "frac_coords": [[0.059, 0.250, 0.035], [0.441, 0.750, 0.535], [0.559, 0.250, 0.465], [0.941, 0.750, 0.965], [0.000, 0.000, 0.500], [0.000, 0.500, 0.500], [0.197, 0.002, 0.788], [0.197, 0.498, 0.788], [0.303, 0.502, 0.288], [0.303, 0.998, 0.288], [0.500, 0.000, 0.000], [0.500, 0.500, 0.000], [0.697, 0.002, 0.712], [0.697, 0.498, 0.712], [0.803, 0.502, 0.212], [0.803, 0.998, 0.212], [0.010, 0.047, 0.657], [0.010, 0.453, 0.657], [0.076, 0.750, 0.528], [0.111, 0.041, 0.169], [0.111, 0.459, 0.169], [0.152, 0.250, 0.834], [0.198, 0.750, 0.810], [0.202, 0.533, 0.965], [0.202, 0.967, 0.965], [0.298, 0.033, 0.465], [0.298, 0.467, 0.465], [0.302, 0.250, 0.310], [0.348, 0.750, 0.334], [0.389, 0.541, 0.669], [0.389, 0.959, 0.669], [0.424, 0.250, 0.028], [0.490, 0.547, 0.157], [0.490, 0.953, 0.157], [0.510, 0.047, 0.843], [0.510, 0.453, 0.843], [0.576, 0.750, 0.972], [0.611, 0.041, 0.331], [0.611, 0.459, 0.331], [0.652, 0.250, 0.666], [0.698, 0.750, 0.690], [0.702, 0.533, 0.535], [0.702, 0.967, 0.535], [0.798, 0.033, 0.035], [0.798, 0.467, 0.035], [0.802, 0.250, 0.190], [0.848, 0.750, 0.166], [0.889, 0.541, 0.831], [0.889, 0.959, 0.831], [0.924, 0.250, 0.472], [0.990, 0.547, 0.343], [0.990, 0.953, 0.343]],
  "n_ef_per_ev_cell": 0.0,
  "spacegroup": "Pnma, No. 62",
  "mass_density_g_cm3": 9.2
}

***

Which one sits at the bottom of the stability order? B does.

***

--- A ---
{
  "formula": "TbErO",
  "functional": "PBE",
  "state": "optimized geometry",
  "cell": [[6.575, -1.743, 0.000], [6.575, 1.743, 0.000], [-3.132, 0.000, 5.650]],
  "species": ["Tb", "Tb", "Er", "Er", "O", "O"],
  "frac_coords": [[0.000, 0.000, 0.000], [0.247, 0.247, 0.935], [0.494, 0.494, 0.472], [0.754, 0.754, 0.416], [0.054, 0.054, 0.719], [0.886, 0.886, 0.209]],
  "n_ef_per_ev_cell": 4.5,
  "spacegroup": "Cm, No. 8",
  "mass_density_g_cm3": 8.8
}

***

--- B ---
{
  "formula": "TbErO",
  "functional": "PBE",
  "state": "optimized geometry",
  "cell": [[3.513, 0.000, 0.000], [-1.756, 3.042, 0.000], [0.000, 0.000, 5.726]],
  "species": ["Tb", "Er", "O"],
  "frac_coords": [[0.000, 0.000, 0.000], [0.333, 0.667, 0.471], [0.667, 0.333, 0.247]],
  "n_ef_per_ev_cell": 3.1,
  "spacegroup": "P3m1, No. 156",
  "mass_density_g_cm3": 9.3
}

***

Which one sits at the bottom of the stability order? B does.

***

--- A ---
{
  "formula": "Tb2ErO",
  "functional": "PBE",
  "state": "optimized geometry",
  "cell": [[1.770, 1.022, 8.666], [-1.770, 1.022, 8.666], [0.000, -2.044, 8.666]],
  "species": ["Tb", "Tb", "Er", "O"],
  "frac_coords": [[0.219, 0.219, 0.219], [0.781, 0.781, 0.781], [0.000, 0.000, 0.000], [0.500, 0.500, 0.500]],
  "n_ef_per_ev_cell": 4.7,
  "spacegroup": "R-3m, No. 166",
  "mass_density_g_cm3": 8.8
}

***

--- B ---
{
  "formula": "Tb2ErO",
  "functional": "PBE",
  "state": "optimized geometry",
  "cell": [[3.196, 0.000, 0.000], [0.000, 3.196, 0.000], [0.000, 0.000, 8.685]],
  "species": ["Tb", "Tb", "Er", "O"],
  "frac_coords": [[0.000, 0.000, 0.176], [0.000, 0.000, 0.824], [0.500, 0.500, 0.500], [0.500, 0.500, 0.000]],
  "n_ef_per_ev_cell": 5.1,
  "spacegroup": "P4/mmm, No. 123",
  "mass_density_g_cm3": 9.4
}

***

Which one sits at the bottom of the stability order? B does.

***

--- A ---
{
  "formula": "Er2Tc2O7",
  "functional": "PBE",
  "state": "optimized geometry",
  "cell": [[0.000, 5.131, 5.131], [5.131, 0.000, 5.131], [5.131, 5.131, 0.000]],
  "species": ["Er", "Er", "Er", "Er", "Tc", "Tc", "Tc", "Tc", "O", "O", "O", "O", "O", "O", "O", "O", "O", "O", "O", "O", "O", "O"],
  "frac_coords": [[0.000, 0.000, 0.000], [0.000, 0.000, 0.500], [0.000, 0.500, 0.000], [0.500, 0.000, 0.000], [0.000, 0.500, 0.500], [0.500, 0.000, 0.500], [0.500, 0.500, 0.000], [0.500, 0.500, 0.500], [0.125, 0.125, 0.125], [0.160, 0.160, 0.590], [0.160, 0.590, 0.160], [0.160, 0.590, 0.590], [0.410, 0.410, 0.840], [0.410, 0.840, 0.410], [0.410, 0.840, 0.840], [0.590, 0.160, 0.160], [0.590, 0.160, 0.590], [0.590, 0.590, 0.160], [0.840, 0.410, 0.410], [0.840, 0.410, 0.840], [0.840, 0.840, 0.410], [0.875, 0.875, 0.875]],
  "n_ef_per_ev_cell": 3.9,
  "spacegroup": "Fd-3m, No. 227",
  "mass_density_g_cm3": 7.9
}

***

--- B ---
{
  "formula": "Er2Tc2O7",
  "functional": "PBE",
  "state": "optimized geometry",
  "cell": [[3.559, -3.674, 0.000], [3.559, 3.674, 0.000], [0.000, 0.000, 5.099]],
  "species": ["Er", "Er", "Tc", "Tc", "O", "O", "O", "O", "O", "O", "O"],
  "frac_coords": [[0.237, 0.237, 0.000], [0.763, 0.763, 0.000], [0.240, 0.760, 0.500], [0.760, 0.240, 0.500], [0.000, 0.000, 0.273], [0.000, 0.000, 0.727], [0.000, 0.500, 0.262], [0.000, 0.500, 0.738], [0.500, 0.000, 0.262], [0.500, 0.000, 0.738], [0.500, 0.500, 0.500]],
  "n_ef_per_ev_cell": 5.3,
  "spacegroup": "Cmmm, No. 65",
  "mass_density_g_cm3": 8.0
}

***

Which one sits at the bottom of the stability order? B does.

***

--- A ---
{
  "formula": "ErTcO5",
  "functional": "PBE",
  "state": "optimized geometry",
  "cell": [[4.101, -3.920, 0.000], [4.101, 3.920, 0.000], [-3.858, 0.000, 7.745]],
  "species": ["Er", "Er", "Tc", "Tc", "O", "O", "O", "O", "O", "O", "O", "O", "O", "O"],
  "frac_coords": [[0.000, 0.000, 0.000], [0.000, 0.000, 0.500], [0.323, 0.677, 0.750], [0.677, 0.323, 0.250], [0.067, 0.933, 0.750], [0.247, 0.692, 0.943], [0.254, 0.353, 0.647], [0.308, 0.753, 0.557], [0.353, 0.254, 0.147], [0.647, 0.746, 0.853], [0.692, 0.247, 0.443], [0.746, 0.647, 0.353], [0.753, 0.308, 0.057], [0.933, 0.067, 0.250]],
  "n_ef_per_ev_cell": 0.0,
  "spacegroup": "C2/c, No. 15",
  "mass_density_g_cm3": 4.6
}

***

--- B ---
{
  "formula": "ErTcO5",
  "functional": "PBE",
  "state": "optimized geometry",
  "cell": [[4.467, -3.151, 0.000], [4.467, 3.151, 0.000], [-3.201, 0.000, 6.823]],
  "species": ["Er", "Er", "Tc", "Tc", "O", "O", "O", "O", "O", "O", "O", "O", "O", "O"],
  "frac_coords": [[0.053, 0.947, 0.750], [0.947, 0.053, 0.250], [0.500, 0.500, 0.000], [0.500, 0.500, 0.500], [0.192, 0.778, 0.040], [0.222, 0.808, 0.460], [0.253, 0.296, 0.382], [0.296, 0.253, 0.882], [0.420, 0.580, 0.750], [0.580, 0.420, 0.250], [0.704, 0.747, 0.118], [0.747, 0.704, 0.618], [0.778, 0.192, 0.540], [0.808, 0.222, 0.960]],
  "n_ef_per_ev_cell": 0.2,
  "spacegroup": "C2/c, No. 15",
  "mass_density_g_cm3": 6.0
}

***

Which one sits at the bottom of the stability order? B does.

***

--- A ---
{
  "formula": "Er2TeO6",
  "functional": "PBE",
  "state": "optimized geometry",
  "cell": [[5.480, 0.000, 0.000], [0.000, 5.654, 0.000], [-4.634, 0.000, 8.218]],
  "species": ["Er", "Er", "Er", "Er", "Te", "Te", "O", "O", "O", "O", "O", "O", "O", "O", "O", "O", "O", "O"],
  "frac_coords": [[0.191, 0.066, 0.231], [0.191, 0.434, 0.731], [0.809, 0.566, 0.269], [0.809, 0.934, 0.769], [0.500, 0.000, 0.000], [0.500, 0.500, 0.500], [0.171, 0.184, 0.954], [0.171, 0.316, 0.454], [0.234, 0.742, 0.882], [0.234, 0.758, 0.382], [0.472, 0.115, 0.800], [0.472, 0.385, 0.300], [0.528, 0.615, 0.700], [0.528, 0.885, 0.200], [0.766, 0.242, 0.618], [0.766, 0.258, 0.118], [0.829, 0.684, 0.546], [0.829, 0.816, 0.046]],
  "n_ef_per_ev_cell": 0.0,
  "spacegroup": "P2_1/c, No. 14",
  "mass_density_g_cm3": 7.3
}

***

--- B ---
{
  "formula": "Er2TeO6",
  "functional": "PBE",
  "state": "optimized geometry",
  "cell": [[9.102, 0.000, 0.000], [-4.551, 7.883, 0.000], [0.000, 0.000, 5.166]],
  "species": ["Er", "Er", "Er", "Er", "Er", "Er", "Te", "Te", "Te", "O", "O", "O", "O", "O", "O", "O", "O", "O", "O", "O", "O", "O", "O", "O", "O", "O", "O"],
  "frac_coords": [[0.000, 0.284, 0.000], [0.000, 0.621, 0.500], [0.284, 0.000, 0.000], [0.379, 0.379, 0.500], [0.621, 0.000, 0.500], [0.716, 0.716, 0.000], [0.000, 0.000, 0.500], [0.333, 0.667, 0.999], [0.667, 0.333, 0.001], [0.080, 0.878, 0.288], [0.122, 0.202, 0.288], [0.131, 0.544, 0.214], [0.202, 0.122, 0.712], [0.226, 0.763, 0.782], [0.237, 0.463, 0.782], [0.413, 0.869, 0.214], [0.456, 0.587, 0.214], [0.463, 0.237, 0.218], [0.537, 0.774, 0.782], [0.544, 0.131, 0.786], [0.587, 0.456, 0.786], [0.763, 0.226, 0.218], [0.774, 0.537, 0.218], [0.798, 0.920, 0.288], [0.869, 0.413, 0.786], [0.878, 0.080, 0.712], [0.920, 0.798, 0.712]],
  "n_ef_per_ev_cell": 0.0,
  "spacegroup": "P321, No. 150",
  "mass_density_g_cm3": 7.5
}

***

Which one sits at the bottom of the stability order? A does.

***

--- A ---
{
  "formula": "Er2TeO6",
  "functional": "PBE",
  "state": "optimized geometry",
  "cell": [[5.265, 0.000, 0.000], [0.000, 9.086, 0.000], [0.000, 0.000, 9.961]],
  "species": ["Er", "Er", "Er", "Er", "Er", "Er", "Er", "Er", "Te", "Te", "Te", "Te", "O", "O", "O", "O", "O", "O", "O", "O", "O", "O", "O", "O", "O", "O", "O", "O", "O", "O", "O", "O", "O", "O", "O", "O"],
  "frac_coords": [[0.017, 0.103, 0.462], [0.040, 0.217, 0.866], [0.460, 0.783, 0.366], [0.483, 0.897, 0.962], [0.517, 0.397, 0.538], [0.540, 0.283, 0.134], [0.960, 0.717, 0.634], [0.983, 0.603, 0.038], [0.037, 0.495, 0.351], [0.463, 0.505, 0.851], [0.537, 0.005, 0.649], [0.963, 0.995, 0.149], [0.092, 0.843, 0.030], [0.171, 0.950, 0.302], [0.179, 0.641, 0.821], [0.189, 0.642, 0.238], [0.236, 0.115, 0.069], [0.243, 0.586, 0.496], [0.257, 0.414, 0.996], [0.264, 0.885, 0.569], [0.311, 0.358, 0.738], [0.321, 0.359, 0.321], [0.329, 0.050, 0.802], [0.408, 0.157, 0.530], [0.592, 0.657, 0.970], [0.671, 0.550, 0.698], [0.679, 0.859, 0.179], [0.689, 0.858, 0.762], [0.736, 0.385, 0.931], [0.743, 0.914, 0.504], [0.757, 0.086, 0.004], [0.764, 0.615, 0.431], [0.811, 0.142, 0.262], [0.821, 0.141, 0.679], [0.829, 0.450, 0.198], [0.908, 0.343, 0.470]],
  "n_ef_per_ev_cell": 0.0,
  "spacegroup": "P2_12_12_1, No. 19",
  "mass_density_g_cm3": 7.8
}

***

--- B ---
{
  "formula": "Er2TeO6",
  "functional": "PBE",
  "state": "optimized geometry",
  "cell": [[4.962, 0.000, 0.000], [0.000, 4.962, 0.000], [0.000, 0.000, 10.005]],
  "species": ["Er", "Er", "Er", "Er", "Te", "Te", "O", "O", "O", "O", "O", "O", "O", "O", "O", "O", "O", "O"],
  "frac_coords": [[0.000, 0.000, 0.165], [0.000, 0.000, 0.835], [0.500, 0.500, 0.335], [0.500, 0.500, 0.665], [0.000, 0.000, 0.500], [0.500, 0.500, 0.000], [0.184, 0.184, 0.353], [0.184, 0.184, 0.647], [0.220, 0.220, 0.000], [0.280, 0.720, 0.500], [0.316, 0.684, 0.147], [0.316, 0.684, 0.853], [0.684, 0.316, 0.147], [0.684, 0.316, 0.853], [0.720, 0.280, 0.500], [0.780, 0.780, 0.000], [0.816, 0.816, 0.353], [0.816, 0.816, 0.647]],
  "n_ef_per_ev_cell": 0.0,
  "spacegroup": "P4_2/mnm, No. 136",
  "mass_density_g_cm3": 7.5
}

***

Which one sits at the bottom of the stability order? B does.